1.
The following is a DFT calculation (PBE) of K2NpGaS5 after structural relaxation.

The structure in extended XYZ format:
```
18
Lattice="-3.892 0.821 0.119 1.109 -5.476 7.539 2.601 11.205 7.757" Properties=species:S:1:pos:R:3 pbc="T T T"
S 1.198 4.302 9.515
S -1.900 0.008 4.348
S -0.894 4.470 6.468
S 0.059 8.484 9.968
S -0.543 -3.326 5.204
S 0.519 1.347 7.717
S 0.102 9.221 6.265
S -0.073 -1.761 9.780
S -0.034 -0.315 1.071
S -1.322 1.809 10.843
K -0.428 5.859 12.161
K -2.141 -1.574 7.402
K 1.583 6.504 6.891
K 0.637 2.380 4.422
Ga 0.374 0.349 9.869
Ga 0.343 10.079 8.230
Np -0.273 -1.776 3.344
Np -1.066 3.344 8.622
```

Summary:
The total magnetization comes out at 0.221 μB/atom. The calculation puts the total energy at -0.198 Ha/atom. Its energy relative to the elements, uncorrected is -1.08 eV per atom. For the density of states at the Fermi level, the calculation gives 4.65 states/eV/f.u. Its space group is Cmc2_1, No. 36.



2.
The following is a DFT calculation (PBE) of La2ErSb after structural relaxation.

The structure in extended XYZ format:
```
4
Lattice="-2.093 -4.507 -0.551 4.326 -1.848 -1.317 0.984 -1.028 4.673" Properties=species:S:1:pos:R:3 pbc="T T T"
La 0.492 -0.514 2.337
La 2.163 -0.924 -0.658
Sb -1.046 -2.254 -0.275
Er 1.608 -3.691 1.403
```

Summary:
The total magnetization comes out at 0.000 μB/atom. The calculation puts the total energy at -0.191 Ha/atom. Its energy relative to the elements, uncorrected is -0.55 eV per atom. For the density of states at the Fermi level, the calculation gives 4.08 states/eV/f.u. Its space group is P4/mmm, No. 123.



3.
The following is a DFT calculation (PBE) of NaLi2GaSb2 after structural relaxation.

The structure in extended XYZ format:
```
12
Lattice="4.469 0.000 0.000 0.000 7.620 0.000 0.000 0.000 8.203" Properties=species:S:1:pos:R:3 pbc="T T T"
Li 0.000 2.760 1.523
Li 2.235 0.300 0.662
Li 2.235 4.111 7.540
Li 0.000 6.570 6.680
Ga 2.235 1.091 5.572
Ga 2.235 4.901 2.631
Na 0.000 7.546 3.505
Na 0.000 3.736 4.698
Sb 2.235 2.117 2.987
Sb 0.000 5.584 1.111
Sb 2.235 5.927 5.216
Sb 0.000 1.773 7.092
```

Summary:
The total magnetization comes out at 0.000 μB/atom. The calculation puts the total energy at -0.116 Ha/atom. Its energy relative to the elements, uncorrected is -0.41 eV per atom. For the density of states at the Fermi level, the calculation gives 0.78 states/eV/f.u. Its space group is Pmc2_1, No. 26.



4.
The following is a DFT calculation (PBE) of Na2MnPt2 after structural relaxation.

The structure in extended XYZ format:
```
10
Lattice="-6.691 1.767 3.738 3.270 -2.090 6.841 0.877 2.556 0.362" Properties=species:S:1:pos:R:3 pbc="T T T"
Na -3.716 0.848 3.014
Na 0.295 -1.172 7.564
Na 0.556 -0.627 3.084
Na -3.977 0.304 7.494
Pt 1.414 0.171 5.642
Pt -1.558 0.815 8.292
Pt -3.957 2.062 5.298
Pt -0.985 1.417 2.648
Mn 0.000 0.000 0.000
Mn -1.710 -0.162 5.289
```

Summary:
The total magnetization comes out at 0.074 μB/atom. The calculation puts the formation enthalpy at 0 K at 0.6422 eV/atom. The calculation puts the total energy at -0.152 Ha/atom. For the density of states at the Fermi level, the calculation gives 6.63 states/eV/f.u. Its space group is P4/mbm, No. 127.



5.
The following is a DFT calculation (PBE) of BC3 after structural relaxation.

The structure in extended XYZ format:
```
12
Lattice="2.559 0.000 0.000 0.000 4.523 -0.034 0.000 -0.049 6.422" Properties=species:S:1:pos:R:3 pbc="T T T"
C 0.000 1.486 3.781
C 0.000 4.451 0.022
C 1.279 0.735 4.222
C 0.000 2.973 5.870
C 0.000 4.491 1.478
C 0.000 2.992 4.299
C 1.279 2.241 1.468
C 1.279 2.318 -0.016
C 1.279 3.733 3.789
B 0.000 1.491 2.131
B 1.279 3.747 2.164
B 1.279 0.733 5.872
```

Summary:
The total magnetization comes out at 0.000 μB/atom. The calculation puts the formation enthalpy at 0 K at 0.2949 eV/atom. The calculation puts the total energy at -0.305 Ha/atom. For the density of states at the Fermi level, the calculation gives 1.08 states/eV/f.u. Its space group is Pm, No. 6.



6.
The following is a DFT calculation (PBE) of LaPm4Th after structural relaxation.

The structure in extended XYZ format:
```
6
Lattice="3.637 -0.002 -0.002 -1.809 7.920 -5.315 -0.050 -5.422 10.824" Properties=species:S:1:pos:R:3 pbc="T T T"
Pm 0.008 5.370 -3.571
Pm 1.804 2.490 1.855
Pm -0.026 0.006 3.652
Pm 1.770 -2.875 9.079
Th 1.777 2.495 5.507
La -0.016 5.207 0.097
```

Summary:
The total magnetization comes out at 0.000 μB/atom. The calculation puts the formation enthalpy at 0 K at 0.0372 eV/atom. The calculation puts the total energy at -0.191 Ha/atom. For the density of states at the Fermi level, the calculation gives 9.44 states/eV/f.u. Its space group is P-1, No. 2.